BeInOs2 | PBE | relaxed

Cell lengths 9.6875, 2.9266, 4.5234 Å; angles 90.00, 117.23, 90.00 degrees
Space group C2/m (No. 12)
Unique sites:
Be  0.0000  0.0000  0.0000
In  0.0000  0.5000  0.5000
Os  0.2132  0.5000  0.2126

***

BeInOs2 | PBE | relaxed

Cell lengths 8.5746, 2.8766, 5.1231 Å; angles 90.00, 97.94, 90.00 degrees
Space group Cm (No. 8)
Unique sites:
Be  0.0000  0.0000  0.0000
In  0.2242  0.0000  0.6771
Os  0.2330  0.5000  0.1572
Os  0.4743  0.0000  0.3526

***

BeInOs3 | PBE | relaxed

Cell lengths 4.2032, 4.2032, 4.2032 Å; angles 90.00, 90.00, 90.00 degrees
Space group Pm-3m (No. 221)
Unique sites:
Be  0.0000  0.0000  0.0000
In  0.5000  0.5000  0.5000
Os  0.0000  0.0000  0.5000

***

Number 1: E -6.934 eV per atom, energy relative to the lowest polymorph listed for this composition 0.022 eV per atom. Number 2: E -6.792 eV per atom, energy relative to the lowest polymorph listed for this composition 0.163 eV per atom. Number 3: E -7.270 eV per atom, energy relative to the lowest polymorph listed for this composition 0.000 eV per atom.